# Cr2OsRh PBE optimized geometry
data_Cr2OsRh
_chemical_formula_sum 'Cr4 Os2 Rh2'
_symmetry_space_group_name_H-M 'C m m m'
_symmetry_Int_Tables_number 65
_symmetry_space_group_name_Hall '-C 2 2'
_cell_length_a 5.3421
_cell_length_b 7.3344
_cell_length_c 2.6690
_cell_angle_alpha 90.00
_cell_angle_beta 90.00
_cell_angle_gamma 90.00
loop_
_atom_site_label
_atom_site_type_symbol
_atom_site_fract_x
_atom_site_fract_y
_atom_site_fract_z
Cr1 Cr 0.2500 0.2500 0.0000
Os1 Os 0.0000 0.0000 0.5000
Rh1 Rh 0.0000 0.5000 0.5000
# E_tot in eV per cell: -75.4
# Energy of formation from the pure elements in eV/f.u.: 0.13
# Spin magnetization in μB per cell: 0.00
# D(E_F) in states/eV/f.u.: 4.88